VASP calculation (GGA-PBE) on crystalline BaTa2Au at its relaxed geometry.

Summary:
relative energy among the computed polymorphs = 660.4 meV per atom
formation enthalpy at 0 K = 0.9619 eV/atom
ρ = 12.43 Mg/m³

Cell lengths 4.268, 4.268, 10.211 Å; angles 90.00, 90.00, 90.00 degrees
Element x y z (fractional)
Ba 0.000 0.000 0.000
Ba 0.500 0.500 0.500
Ta 0.000 0.500 0.250
Ta 0.000 0.500 0.750
Ta 0.500 0.000 0.250
Ta 0.500 0.000 0.750
Au 0.000 0.000 0.500
Au 0.500 0.500 0.000